Here is a relaxed structure of Al3PtN from Alexandria. Energies are from GGA-PBEsol.

- Space group: Pm-3m (221)
- E_form (uncorrected): -0.615 eV/atom

abc: 3.9398 3.9398 3.9398
angles: 90.00 90.00 90.00
Element x y z (fractional)
Al (0.0000, 0.5000, 0.0000)
Al (0.0000, 0.0000, 0.5000)
Al (0.5000, 0.0000, 0.0000)
Pt (0.5000, 0.5000, 0.5000)
N (0.0000, 0.0000, 0.0000)

Here is a relaxed structure of ZrCr2InCl from Alexandria. Energies are from GGA-PBEsol.

- Space group: P4/mmm (123)
- E_form (uncorrected): 1.475 eV/atom

abc: 4.9936 4.9936 5.1468
angles: 90.00 90.00 90.00
Last column: magnetic moment on the atom in μB.
Element x y z (fractional)
Cr (0.0000, 0.5000, 0.0000)  3.64
Cr (0.5000, 0.0000, 0.0000)  3.64
Cl (0.0000, 0.0000, 0.5000)  0.06
Zr (0.5000, 0.5000, 0.5000)  -1.12
In (0.0000, 0.0000, 0.0000)  0.05

Here is a relaxed structure of CaSc2Rh from Alexandria. Energies are from GGA-PBEsol.

- Space group: R-3m (166)
- ΔH_f (0 K): -0.25 eV/atom
- Energy relative to the lowest polymorph listed for this composition: 0.0 meV/atom

abc: 3.8373 3.8373 8.6360
angles: 77.16 77.16 60.00
Element x y z (fractional)
Sc (0.2821, 0.2821, 0.1537)
Sc (0.7179, 0.7179, 0.8463)
Ca (0.5000, 0.5000, 0.5000)
Rh (0.0000, 0.0000, 0.0000)

Here is a relaxed structure of Be3ReAs from Alexandria. Energies are from GGA-PBEsol.

- Space group: Pm-3m (221)
- ΔH_f (0 K): 1.19 eV/atom

abc: 4.2281 4.2281 4.2281
angles: 90.00 90.00 90.00
Element x y z (fractional)
Re (0.0000, 0.0000, 0.0000)
As (0.5000, 0.5000, 0.5000)
Be (0.0000, 0.5000, 0.0000)
Be (0.0000, 0.0000, 0.5000)
Be (0.5000, 0.0000, 0.0000)

Here is a relaxed structure of BeBr2Cl from Alexandria. Energies are from GGA-PBEsol.

- Space group: Fmmm (69)
- Energy relative to the lowest polymorph listed for this composition: 627.9 meV/atom
- E_form (uncorrected): 0.288 eV/atom

abc: 4.5846 4.5846 5.8491
angles: 102.81 102.81 115.74
Element x y z (fractional)
Be (0.0000, 0.0000, 0.0000)
Br (0.5000, 0.0000, 0.5000)
Br (0.0000, 0.5000, 0.5000)
Cl (0.5000, 0.5000, 0.0000)

Here is a relaxed structure of Y2SiTe from Alexandria. Energies are from GGA-PBEsol.

- Space group: I-4m2 (119)
- Energy relative to the lowest polymorph listed for this composition: 375.9 meV/atom
- E_form (uncorrected): -0.777 eV/atom

abc: 4.2445 4.2445 6.0499
angles: 110.54 110.54 90.00
Element x y z (fractional)
Si (0.5000, 0.5000, 0.0000)
Te (0.2500, 0.7500, 0.5000)
Y (0.0000, 0.0000, 0.0000)
Y (0.7500, 0.2500, 0.5000)

Here is a relaxed structure of Cs3AsBr from Alexandria. Energies are from GGA-PBEsol.

- Space group: Pm-3m (221)
- E_form (uncorrected): -0.612 eV/atom

abc: 6.7617 6.7617 6.7617
angles: 90.00 90.00 90.00
Last column: magnetic moment on the atom in μB.
Element x y z (fractional)
Cs (0.0000, 0.5000, 0.0000)  0.03
Cs (0.0000, 0.0000, 0.5000)  0.03
Cs (0.5000, 0.0000, 0.0000)  0.03
As (0.0000, 0.0000, 0.0000)  0.34
Br (0.5000, 0.5000, 0.5000)  0.00

Here is a relaxed structure of SrAlOs2F from Alexandria. Energies are from GGA-PBEsol.

- Space group: P4/mmm (123)
- E_form (uncorrected): 2.854 eV/atom

abc: 4.9095 4.9095 5.9816
angles: 90.00 90.00 90.00
Last column: magnetic moment on the atom in μB.
Element x y z (fractional)
Sr (0.0000, 0.0000, 0.0000)  -0.04
Os (0.0000, 0.5000, 0.0000)  1.66
Os (0.5000, 0.0000, 0.0000)  1.66
Al (0.0000, 0.0000, 0.5000)  -0.01
F (0.5000, 0.5000, 0.5000)  0.11

Here is a relaxed structure of CuTe from Alexandria. Energies are from GGA-PBEsol.

- Space group: Imma (74)
- E_form (uncorrected): 0.171 eV/atom

abc: 3.5738 3.7449 6.6114
angles: 106.45 105.68 90.00
Element x y z (fractional)
Cu (0.5659, 0.3159, 0.1317)
Cu (0.4341, 0.6841, 0.8683)
Te (0.1345, 0.8845, 0.2689)
Te (0.8655, 0.1155, 0.7311)

Here is a relaxed structure of Co4SbO8 from Alexandria. Energies are from GGA-PBEsol.

- Space group: C2/m (12)
- E_form (uncorrected): -0.976 eV/atom

abc: 5.5780 5.7944 5.7944
angles: 120.57 118.30 61.70
Last column: magnetic moment on the atom in μB.
Element x y z (fractional)
Co (0.8814, 0.3830, 0.6170)  2.48
Co (0.1186, 0.6170, 0.3830)  2.48
Co (0.5000, 0.5000, 0.0000)  0.18
Co (0.5000, 0.0000, 0.5000)  0.18
Sb (0.0000, 0.0000, 0.0000)  0.02
O (0.2720, 0.2584, 0.7416)  0.24
O (0.7396, 0.2438, 0.7562)  0.06
O (0.7280, 0.7781, 0.7291)  0.15
O (0.7280, 0.2709, 0.2219)  0.15
O (0.7280, 0.7416, 0.2584)  0.24
O (0.2604, 0.7562, 0.2438)  0.06
O (0.2720, 0.2219, 0.2709)  0.15
O (0.2720, 0.7291, 0.7781)  0.15

Here is a relaxed structure of YTaMo2 from Alexandria. Energies are from GGA-PBEsol.

- Space group: C2/m (12)
- ΔH_f (0 K): 0.39 eV/atom
- Energy relative to the lowest polymorph listed for this composition: 55.9 meV/atom

abc: 2.8487 5.4053 5.4053
angles: 113.64 101.09 101.09
Element x y z (fractional)
Mo (0.0000, 0.5000, 0.0000)
Mo (0.0000, 0.0000, 0.5000)
Ta (0.5000, 0.0000, 0.0000)
Y (0.5000, 0.5000, 0.5000)

Here is a relaxed structure of Ca3PN from Alexandria. Energies are from GGA-PBEsol.

- Space group: Pm-3m (221)
- E_form (uncorrected): -1.098 eV/atom

abc: 4.6696 4.6696 4.6696
angles: 90.00 90.00 90.00
Element x y z (fractional)
P (0.0000, 0.0000, 0.0000)
Ca (0.0000, 0.5000, 0.5000)
Ca (0.5000, 0.0000, 0.5000)
Ca (0.5000, 0.5000, 0.0000)
N (0.5000, 0.5000, 0.5000)

no.,electronic total energy (eV per cell)
1,-30.838
2,-27.189
3,-24.469
4,-24.500
5,-8.594
6,-26.025
7,-12.864
8,-18.021
9,-15.038
10,-90.190
11,-41.332
12,-26.208